The following is a DFT calculation (GGA-PBE) of an optimized crystal structure of SrAcPr.

a b c (Å): 3.9976 5.3308 12.5205
angles (deg): 90.00 90.01 90.00
With the nearest neighbours (Å) after each atom.
Element x y z (fractional)
Sr 0.8734 0.2913 0.1606  6 Sr 4.00-4.11, 4 Ac 4.03, 1 Pr 4.17
Sr 0.3715 0.7909 0.3517  6 Sr 4.00-4.11, 4 Ac 4.03, 1 Pr 4.17
Ac 0.8711 0.2908 0.5329  5 Pr 3.69-3.84, 2 Ac 4.00, 4 Sr 4.03
Ac 0.3737 0.7914 0.9794  5 Pr 3.69-3.84, 2 Ac 4.00, 4 Sr 4.03
Pr 0.8730 0.2913 0.8276  5 Ac 3.69-3.84, 6 Pr 3.78-4.00
Pr 0.3719 0.7910 0.6847  5 Ac 3.69-3.84, 6 Pr 3.78-4.00

- relative energy among the computed polymorphs (meV per atom) = 10.3
- calculated total energy (eV/atom) = -3.4590
- SG = No. 11
- M_tot (Bohr magnetons per cell) = 0.00